Record 1
Density functional theory data (GGA-PBE) for a relaxed La2GaAg2 crystal.

Computed properties:
The space group is No. 127. For the energy above the lowest structure with this stoichiometry, the calculation gives 0.26 eV per formula unit. For the electronic total energy, the calculation gives -4.0304 eV/atom.

extended XYZ file:
```
10
Lattice="7.9204 0.0000 0.0000 0.0000 7.9204 0.0000 0.0000 0.0000 4.2078" Properties=species:S:1:pos:R:3 pbc="T T T"
Ag 6.9306 4.9499 0.0000
Ag 2.9705 6.9306 0.0000
Ag 0.9897 2.9705 0.0000
Ag 4.9499 0.9897 0.0000
La 1.4284 5.3886 2.1039
La 5.3886 6.4919 2.1039
La 2.5317 1.4284 2.1039
La 6.4919 2.5317 2.1039
Ga 3.9602 3.9602 0.0000
Ga 0.0000 0.0000 0.0000
```

***

Record 2
Density functional theory data (GGA-PBE) for a relaxed LaGa2Ag crystal.

Computed properties:
The space group is No. 123. For the energy above the lowest structure with this stoichiometry, the calculation gives 0.77 eV per formula unit. For the electronic total energy, the calculation gives -3.7725 eV/atom.

extended XYZ file:
```
4
Lattice="4.4677 0.0000 0.0000 0.0000 4.5197 0.0000 0.0000 0.0000 4.5197" Properties=species:S:1:pos:R:3 pbc="T T T"
Ag 2.2338 0.0000 0.0000
Ga 0.0000 0.0000 2.2598
Ga 0.0000 2.2598 0.0000
La 2.2338 2.2598 2.2598
```

***

Record 3
Density functional theory data (GGA-PBE) for a relaxed La3Ga9Ag2 crystal.

Computed properties:
The space group is No. 71. For the electronic total energy, the calculation gives -3.9237 eV/atom.

extended XYZ file:
```
14
Lattice="4.4364 0.0000 0.0000 2.2182 8.2935 0.1814 2.2182 2.0566 8.0365" Properties=species:S:1:pos:R:3 pbc="T T T"
Ga 6.6546 9.4030 5.8156
Ga 2.2182 5.1643 1.1626
Ga 2.2182 2.5546 0.3779
Ga 2.2182 0.9471 2.4024
Ga 6.6546 5.1859 7.0554
Ga 2.2182 2.3029 4.7663
Ga 6.6546 8.0473 3.4516
Ga 6.6546 7.7956 7.8400
Ga 2.2182 5.1751 4.1090
Ag 4.4364 3.7880 5.8559
Ag 4.4364 6.5621 2.3621
La 0.0000 0.0000 0.0000
La 4.4364 3.2810 2.6051
La 4.4364 7.0691 5.6129
```

***

Record 4
Density functional theory data (GGA-PBE) for a relaxed La3GaAg3 crystal.

Computed properties:
The space group is No. 12. For the electronic total energy, the calculation gives -4.0921 eV/atom.

extended XYZ file:
```
14
Lattice="4.4518 0.0000 0.6706 2.1931 5.5397 0.5529 -0.0352 0.0485 15.3457" Properties=species:S:1:pos:R:3 pbc="T T T"
Ga 3.5703 0.5982 6.5224
Ga 3.0394 4.9900 10.0468
Ag 5.4340 4.1238 9.2619
Ag 1.1757 1.4644 7.3073
Ag 2.3375 4.7786 14.7066
Ag 6.1173 4.6664 4.7261
Ag 4.2722 0.8096 1.8626
Ag 0.4924 0.9218 11.8432
La 3.5433 3.8302 6.7018
La 2.3652 1.6257 14.5223
La 4.2445 3.9625 2.0470
La 3.0664 1.7580 9.8674
La 1.6780 1.4776 3.9728
La 4.9317 4.1106 12.5965
```

***

Record 5
Density functional theory data (GGA-PBE) for a relaxed La5GaAg crystal.

Computed properties:
The space group is No. 15. For the electronic total energy, the calculation gives -4.4566 eV/atom.

extended XYZ file:
```
14
Lattice="-7.1854 -2.6462 -2.5501 3.5929 2.6448 -6.7255 3.6337 -6.4945 1.1506" Properties=species:S:1:pos:R:3 pbc="T T T"
La 0.6637 -3.5666 -6.8457
La 1.7905 -1.6390 -3.8108
La 4.2066 -3.2627 -5.0445
La -4.1653 -3.2332 -3.0805
La -0.0260 0.1281 -6.2609
La -3.4030 -1.4238 -6.5494
La 3.4443 -5.0721 -1.5756
La -0.6224 -2.9293 -1.2793
La -1.7493 -4.8569 -4.3142
La 0.0673 -6.6240 -1.8641
Ag 1.8169 -3.2472 0.5753
Ag 0.0000 0.0000 0.0000
Ga -1.2687 -1.8113 -4.2026
Ga 1.3100 -4.6846 -3.9224
```

***

Record 6
Density functional theory data (GGA-PBE) for a relaxed La4GaAg crystal.

Computed properties:
The space group is No. 14. For the energy above the lowest structure with this stoichiometry, the calculation gives 0.97 eV per formula unit. For the electronic total energy, the calculation gives -4.3579 eV/atom.

extended XYZ file:
```
12
Lattice="-1.3000 -6.8128 -3.1603 -1.3103 -2.8566 6.6969 -7.2626 1.6477 -0.7182" Properties=species:S:1:pos:R:3 pbc="T T T"
La -6.7911 -0.7103 1.1222
La -6.0662 -2.3819 4.7431
La -3.0819 -7.3113 1.6962
La -3.4188 -2.8047 0.9949
La -3.8067 -5.6397 -1.9247
La -6.4541 -5.2169 1.8235
La -7.2130 -3.6196 -1.6233
La -2.6599 -4.4020 4.4417
Ag -4.2865 -0.6044 2.9894
Ag -4.2813 -2.5825 -1.9393
Ga 0.0000 0.0000 0.0000
Ga -1.3052 -4.8347 1.7683
```

***

Record 7
Density functional theory data (GGA-PBE) for a relaxed LaGa7Ag5 crystal.

Computed properties:
The space group is No. 44. For the electronic total energy, the calculation gives -3.2848 eV/atom.

extended XYZ file:
```
13
Lattice="5.2762 0.0000 2.1669 2.7004 6.5830 0.9318 0.1371 -0.1427 7.1733" Properties=species:S:1:pos:R:3 pbc="T T T"
Ga 6.3108 2.2569 7.1549
Ga 2.0929 1.4399 2.4111
Ga 7.0621 4.2283 5.3255
Ga 3.6989 4.1653 6.0075
Ga 4.8418 5.2248 3.2246
Ga 3.2928 1.1603 6.9965
Ga 4.3976 2.3204 4.3064
Ag 0.0930 -0.0405 3.5405
Ag 6.0220 4.9973 7.8580
Ag 3.9718 3.2396 1.5761
Ag 2.7217 -0.0405 4.6201
Ag 1.3431 3.2396 0.4965
La 5.2724 0.0101 2.1762
```

***

Record 8
Density functional theory data (GGA-PBE) for a relaxed La2Ga2Ag crystal.

Computed properties:
The space group is No. 12. For the energy above the lowest structure with this stoichiometry, the calculation gives 0.00 eV per formula unit. For the electronic total energy, the calculation gives -4.2758 eV/atom.

extended XYZ file:
```
10
Lattice="-0.3770 -4.1444 2.1868 5.1608 -1.9018 2.3386 -2.2916 2.5982 9.5823" Properties=species:S:1:pos:R:3 pbc="T T T"
Ga 2.2925 -4.0425 7.8933
Ga 2.1070 -1.8990 11.9238
Ga 0.3852 -1.5490 2.1838
Ga 0.1997 0.5946 6.2144
La 2.0244 -0.8906 8.7675
La 3.4927 -1.4352 2.9353
La 0.4678 -2.5574 5.3402
La -1.0005 -2.0128 11.1724
Ag -1.1535 -1.0835 7.8540
Ag 3.6457 -2.3645 6.2536
```

***

Record 9
Density functional theory data (GGA-PBE) for a relaxed La6GaAg2 crystal.

Computed properties:
The space group is No. 71. For the electronic total energy, the calculation gives -4.4610 eV/atom.

extended XYZ file:
```
18
Lattice="9.0002 0.1927 0.1606 -3.2317 8.4022 -0.1606 -2.9496 -4.2536 7.3670" Properties=species:S:1:pos:R:3 pbc="T T T"
La 5.4174 -0.7472 2.5333
La 5.3106 5.6080 1.3267
La 3.3065 0.6695 4.9943
La 0.2282 2.7859 6.0403
La -2.4917 -1.2667 6.0403
La -2.5985 5.0885 4.8337
La 2.5907 1.5554 1.3267
La 6.2716 2.0240 0.5050
La -0.3745 0.2513 3.2732
La -0.4876 3.6718 2.3728
La -3.4527 2.3173 6.8620
La 3.1934 4.0900 4.0938
Ag 3.8607 -2.5911 4.8032
Ag 0.7678 -0.5153 6.3957
Ag 2.0511 4.8566 0.9713
Ag 2.1899 -1.4697 2.7244
Ga -3.0906 2.0743 3.6032
Ga 0.0000 0.0000 0.0000
```

***

Record 10
Density functional theory data (GGA-PBE) for a relaxed La2GaAg2 crystal.

Computed properties:
The space group is No. 12. For the energy above the lowest structure with this stoichiometry, the calculation gives 0.00 eV per formula unit. For the electronic total energy, the calculation gives -4.0822 eV/atom.

extended XYZ file:
```
10
Lattice="4.6079 0.0000 0.0000 2.3040 5.5421 -0.4162 2.3040 0.1488 10.2392" Properties=species:S:1:pos:R:3 pbc="T T T"
Ga 4.6079 4.9375 3.1040
Ga 4.6079 0.7534 6.7190
La 4.6079 1.6763 3.4276
La 2.3040 4.0149 0.8686
La 4.6079 4.0146 6.3954
La 6.9119 1.6760 8.9544
Ag 6.9119 4.8639 8.6715
Ag 6.9119 4.0946 4.1661
Ag 2.3040 1.5962 5.6569
Ag 2.3040 0.8270 1.1514
```